VASP calculation (PBE with a Hubbard U) on an optimized crystal structure of LiCoPO4.

Results
Raw total energy (eV/atom): -6.61
N(E_F) (states/eV/f.u.): 0.00
Distance to the lowest polymorph of the same formula (eV/atom): 0.039

Cell lengths 8.0710, 5.3323, 8.4229 Å; angles 90.00, 104.99, 90.00 degrees
Space group Pc (No. 7)
Unique sites:
Li1 0.0000 0.1563 0.0000 x2
Li2 0.4682 0.3354 0.2902 x2
Co1 0.1007 0.3345 0.3683 x2
Co2 0.6007 0.1717 0.6827 x2
P1 0.2256 0.1701 0.7429 x2
P2 0.7211 0.3329 0.0595 x2
O1 0.0871 0.1729 0.5747 x2
O2 0.1531 0.3017 0.8760 x2
O3 0.2693 0.1087 0.2947 x2
O4 0.3862 0.3134 0.7241 x2
O5 0.5905 0.1887 0.1331 x2
O6 0.6490 0.3983 0.5151 x2
O7 0.7506 0.2037 0.9034 x2
O8 0.9028 0.3258 0.1782 x2